Entry 1:
NaRe2W: relaxed, GGA-PBE.

Computed properties:
**E_form**: 0.85 eV/atom
**ΔE to the lowest computed polymorph**: 0 meV per atom
**E**: -8.941 eV/atom

Cell: 4.4616 4.4616 4.4616 Å, 60.00 60.00 60.00°
Fractional coordinates of all 4 atoms:
Re 0.2500 0.2500 0.2500
Re 0.7500 0.7500 0.7500
W 0.5000 0.5000 0.5000
Na 0.0000 0.0000 0.0000

---

Entry 2:
NaRe3W: relaxed, GGA-PBE.

Computed properties:
**E_form**: 2.12 eV/atom
**ΔE to the lowest computed polymorph**: 0 meV per atom
**E**: -8.200 eV/atom

Cell: 4.8153 4.8153 4.8153 Å, 90.00 90.00 90.00°
Fractional coordinates of all 5 atoms:
Re 0.0000 0.5000 0.0000
Re 0.0000 0.0000 0.5000
Re 0.5000 0.0000 0.0000
W 0.0000 0.0000 0.0000
Na 0.5000 0.5000 0.5000

---

Entry 3:
NaRe2W: relaxed, GGA-PBE.

Computed properties:
**E_form**: 1.39 eV/atom
**ΔE to the lowest computed polymorph**: 540 meV per atom
**E**: -8.401 eV/atom

Cell: 7.3518 7.3518 5.8596 Å, 51.15 51.15 90.00°
Fractional coordinates of all 8 atoms:
Re 0.6630 0.1250 0.2500
Re 0.0870 0.6250 0.2500
Re 0.3750 0.3370 0.7500
Re 0.8750 0.9130 0.7500
W 0.0000 0.0000 0.0000
W 0.7500 0.2500 0.5000
Na 0.5000 0.5000 0.0000
Na 0.2500 0.7500 0.5000

---

Entry 4:
NaReW2: relaxed, GGA-PBE.

Computed properties:
**E_form**: 1.38 eV/atom
**ΔE to the lowest computed polymorph**: 473 meV per atom
**E**: -8.534 eV/atom

Cell: 7.4411 7.4411 5.9329 Å, 51.16 51.16 90.00°
Fractional coordinates of all 8 atoms:
Re 0.0000 0.0000 0.0000
Re 0.7500 0.2500 0.5000
W 0.6725 0.1250 0.2500
W 0.0775 0.6250 0.2500
W 0.3750 0.3275 0.7500
W 0.8750 0.9225 0.7500
Na 0.5000 0.5000 0.0000
Na 0.2500 0.7500 0.5000

---

Question: Among the records above, which one has the highest E?
Answer: NaRe3W